DFT (GGA-PBE) results for Dy4Pb3 after structural relaxation.

a = 8.140 Å, b = 8.140 Å, c = 8.140 Å
α = 109.47°, β = 109.47°, γ = 109.47°
Fractional positions:
Dy 0.000 0.360 0.500
Dy 0.000 0.860 0.500
Dy 0.140 0.140 0.140
Dy 0.360 0.500 0.000
Dy 0.500 0.000 0.360
Dy 0.500 0.000 0.860
Dy 0.640 0.640 0.640
Dy 0.860 0.500 0.000
Pb 0.125 0.750 0.875
Pb 0.250 0.625 0.375
Pb 0.375 0.250 0.625
Pb 0.625 0.375 0.250
Pb 0.750 0.875 0.125
Pb 0.875 0.125 0.750

Calculated values
Energy of formation from the pure elements   -537.0 meV/atom
Energy   -4.7560 eV/atom
Density   10.17 g/cm3